Record 1
Crystalline TlInHg2 at its relaxed geometry. Source: Alexandria, functional GGA-PBEsol.

Total magnetic moment (μB/f.u.): 0.0
Total energy (eV per cell): -13.5

```
data_TlInHg2
_chemical_formula_sum 'Tl2 In2 Hg4'
_cell_length_a 3.5199
_cell_length_b 5.4930
_cell_length_c 10.4347
_cell_angle_alpha 90.00
_cell_angle_beta 90.00
_cell_angle_gamma 90.00
_space_group_name_H-M_alt 'I m m m'
_space_group_IT_number 71
_space_group_name_Hall '-I 2 2'
loop_
_atom_site_label
_atom_site_type_symbol
_atom_site_fract_x
_atom_site_fract_y
_atom_site_fract_z
Tl1 Tl 0.0000 0.0000 0.0000
In1 In 0.0000 0.0000 0.5000
Hg1 Hg 0.0000 0.5000 0.2420
```

=====

Record 2
Crystalline Tl2InHg at its relaxed geometry. Source: Alexandria, functional GGA-PBEsol.

Total magnetic moment (μB/f.u.): 0.0
Total energy (eV per cell): -17.5

```
data_Tl2InHg
_chemical_formula_sum 'Tl4 In2 Hg2'
_cell_length_a 6.5615
_cell_length_b 10.3389
_cell_length_c 3.2862
_cell_angle_alpha 90.00
_cell_angle_beta 108.64
_cell_angle_gamma 90.00
_space_group_name_H-M_alt 'C 1 2/m 1'
_space_group_IT_number 12
_space_group_name_Hall '-C 2y'
loop_
_atom_site_label
_atom_site_type_symbol
_atom_site_fract_x
_atom_site_fract_y
_atom_site_fract_z
Tl1 Tl 0.2500 0.2500 0.0000
In1 In 0.0000 0.0000 0.5000
Hg1 Hg 0.0000 0.5000 0.5000
```

=====

Record 3
Crystalline Tm2InHg at its relaxed geometry. Source: Alexandria, functional GGA-PBEsol.

Total magnetic moment (μB/f.u.): 0.0
Total energy (eV per cell): -61.7

```
data_Tm2InHg
_chemical_formula_sum 'Tm8 In4 Hg4'
_cell_length_a 7.2684
_cell_length_b 7.2684
_cell_length_c 7.2684
_cell_angle_alpha 90.00
_cell_angle_beta 90.00
_cell_angle_gamma 90.00
_space_group_name_H-M_alt 'F m -3 m'
_space_group_IT_number 225
_space_group_name_Hall '-F 4 2 3'
loop_
_atom_site_label
_atom_site_type_symbol
_atom_site_fract_x
_atom_site_fract_y
_atom_site_fract_z
Tm1 Tm 0.2500 0.2500 0.2500
In1 In 0.0000 0.0000 0.0000
Hg1 Hg 0.0000 0.0000 0.5000
```

=====

What did the second record say?
Crystalline Tl2InHg at its relaxed geometry. Source: Alexandria, functional GGA-PBEsol.

Total magnetic moment (μB/f.u.): 0.0
Total energy (eV per cell): -17.5

```
data_Tl2InHg
_chemical_formula_sum 'Tl4 In2 Hg2'
_cell_length_a 6.5615
_cell_length_b 10.3389
_cell_length_c 3.2862
_cell_angle_alpha 90.00
_cell_angle_beta 108.64
_cell_angle_gamma 90.00
_space_group_name_H-M_alt 'C 1 2/m 1'
_space_group_IT_number 12
_space_group_name_Hall '-C 2y'
loop_
_atom_site_label
_atom_site_type_symbol
_atom_site_fract_x
_atom_site_fract_y
_atom_site_fract_z
Tl1 Tl 0.2500 0.2500 0.0000
In1 In 0.0000 0.0000 0.5000
Hg1 Hg 0.0000 0.5000 0.5000
```

=====

Question: total energy of number 1 (TlInHg2)?
Answer: -13.5 eV per cell

=====

Repeat the first record exactly.
Crystalline TlInHg2 at its relaxed geometry. Source: Alexandria, functional GGA-PBEsol.

Total magnetic moment (μB/f.u.): 0.0
Total energy (eV per cell): -13.5

```
data_TlInHg2
_chemical_formula_sum 'Tl2 In2 Hg4'
_cell_length_a 3.5199
_cell_length_b 5.4930
_cell_length_c 10.4347
_cell_angle_alpha 90.00
_cell_angle_beta 90.00
_cell_angle_gamma 90.00
_space_group_name_H-M_alt 'I m m m'
_space_group_IT_number 71
_space_group_name_Hall '-I 2 2'
loop_
_atom_site_label
_atom_site_type_symbol
_atom_site_fract_x
_atom_site_fract_y
_atom_site_fract_z
Tl1 Tl 0.0000 0.0000 0.0000
In1 In 0.0000 0.0000 0.5000
Hg1 Hg 0.0000 0.5000 0.2420
```